# GGA+U AlPWO2, relaxed
# Relative energy among the computed polymorphs (eV/f.u.): 0.000
# Density (kg/m3): 5655
data_AlPWO2
_symmetry_space_group_name_H-M 'P 4/m m m'
_symmetry_Int_Tables_number 123
_symmetry_space_group_name_Hall '-P 4 2'
_cell_length_a 3.863
_cell_length_b 3.863
_cell_length_c 5.389
_cell_angle_alpha 90.00
_cell_angle_beta 90.00
_cell_angle_gamma 90.00
loop_
_atom_site_label
_atom_site_type_symbol
_atom_site_fract_x
_atom_site_fract_y
_atom_site_fract_z
Al1 Al 0.000 0.000 0.000
P1 P 0.500 0.500 0.000
W1 W 0.500 0.500 0.500
O1 O 0.000 0.500 0.500